Below is a relaxed structure of CrNiRh, with properties calculated at the PBE level.

* energy above the most stable polymorph in this dataset: 139 meV per atom
* formation energy: 88 meV/atom

Cell: 2.634 4.386 6.850 Å, 90.86 89.98 72.60°
Positions (direct):
Cr  0.860  0.817  0.590
Cr  0.586  0.375  0.450
Ni  0.583  0.375  0.093
Ni  0.862  0.817  0.947
Rh  0.136  0.270  0.762
Rh  0.309  0.921  0.278

---

Below is a relaxed structure of ZnCd3Hg, with properties calculated at the PBE level.

* energy above the most stable polymorph in this dataset: 319 meV per atom
* formation energy: 366 meV/atom

Cell: 5.461 5.461 5.461 Å, 90.00 90.00 90.00°
Positions (direct):
Zn  0.500  0.500  0.500
Hg  0.000  0.000  0.000
Cd  0.000  0.500  0.000
Cd  0.000  0.000  0.500
Cd  0.500  0.000  0.000

---

Below is a relaxed structure of CaSiMo2, with properties calculated at the PBE level.

* energy relative to the elements, uncorrected: 321 meV per atom

Cell: 9.009 9.009 9.009 Å, 19.95 19.95 19.95°
Positions (direct):
Ca  0.752  0.752  0.752
Mo  0.988  0.988  0.988
Mo  0.249  0.249  0.249
Si  0.511  0.511  0.511